Record 1
Compound: TcTe2Pb
Source: Alexandria
Functional: GGA-PBE
Structure: relaxed

Structure (CIF):
```
data_TcTe2Pb
_symmetry_space_group_name_H-M 'P 1'
_symmetry_Int_Tables_number 1
_cell_length_a 4.207
_cell_length_b 5.966
_cell_length_c 5.967
_cell_angle_alpha 50.31
_cell_angle_beta 90.00
_cell_angle_gamma 90.00
loop_
_symmetry_equiv_pos_as_xyz
'x,y,z'
loop_
_atom_site_label
_atom_site_fract_x
_atom_site_fract_y
_atom_site_fract_z
Te1 0.000 0.918 0.918
Pb1 0.000 0.578 0.578
Te2 0.500 0.243 0.243
Tc1 0.500 0.761 0.761
```

## Properties
The value obtained for the density of states at the Fermi level is 2.1 states/eV per cell. As for the energy relative to the elements, uncorrected: 0.113 eV/atom. The total energy comes out at -4.977 eV per atom. The value obtained for the density is 8.07 g/cm³.

=====

Record 2
Compound: TcTePb
Source: Alexandria
Functional: GGA-PBE
Structure: relaxed

Structure (CIF):
```
data_TcTePb
_symmetry_space_group_name_H-M 'P 1'
_symmetry_Int_Tables_number 1
_cell_length_a 3.389
_cell_length_b 3.389
_cell_length_c 8.124
_cell_angle_alpha 90.00
_cell_angle_beta 90.00
_cell_angle_gamma 120.00
loop_
_symmetry_equiv_pos_as_xyz
'x,y,z'
loop_
_atom_site_label
_atom_site_fract_x
_atom_site_fract_y
_atom_site_fract_z
Pb1 0.000 0.000 0.073
Te1 0.667 0.333 0.571
Tc1 0.333 0.667 0.356
```

## Properties
The value obtained for the density of states at the Fermi level is 2.0 states/eV per cell. As for the energy relative to the elements, uncorrected: 0.211 eV/atom. The total energy comes out at -5.528 eV per atom. The value obtained for the density is 8.89 g/cm³.

=====

Record 3
Compound: Tc2TePb
Source: Alexandria
Functional: GGA-PBE
Structure: relaxed

Structure (CIF):
```
data_Tc2TePb
_symmetry_space_group_name_H-M 'P 1'
_symmetry_Int_Tables_number 1
_cell_length_a 4.521
_cell_length_b 4.521
_cell_length_c 5.935
_cell_angle_alpha 77.81
_cell_angle_beta 77.81
_cell_angle_gamma 41.71
loop_
_symmetry_equiv_pos_as_xyz
'x,y,z'
loop_
_atom_site_label
_atom_site_fract_x
_atom_site_fract_y
_atom_site_fract_z
Tc1 0.998 0.998 0.955
Te1 0.750 0.750 0.750
Tc2 0.502 0.502 0.545
Pb1 0.250 0.250 0.250
```

## Properties
The value obtained for the density of states at the Fermi level is 3.8 states/eV per cell. As for the energy relative to the elements, uncorrected: 0.543 eV/atom. The total energy comes out at -6.352 eV per atom. The value obtained for the density is 11.21 g/cm³.

=====

Record 4
Compound: TcTe2Pb
Source: Alexandria
Functional: GGA-PBE
Structure: relaxed

Structure (CIF):
```
data_TcTe2Pb
_symmetry_space_group_name_H-M 'P 1'
_symmetry_Int_Tables_number 1
_cell_length_a 3.727
_cell_length_b 5.609
_cell_length_c 4.908
_cell_angle_alpha 90.00
_cell_angle_beta 90.00
_cell_angle_gamma 90.00
loop_
_symmetry_equiv_pos_as_xyz
'x,y,z'
loop_
_atom_site_label
_atom_site_fract_x
_atom_site_fract_y
_atom_site_fract_z
Te1 0.000 0.000 0.000
Pb1 0.500 0.000 0.500
Te2 0.500 0.500 0.000
Tc1 0.000 0.500 0.500
```

## Properties
The value obtained for the density of states at the Fermi level is 3.5 states/eV per cell. As for the energy relative to the elements, uncorrected: 0.720 eV/atom. The total energy comes out at -4.369 eV per atom. The value obtained for the density is 9.07 g/cm³.

=====

Record 5
Compound: Tc2TePb
Source: Alexandria
Functional: GGA-PBE
Structure: relaxed

Structure (CIF):
```
data_Tc2TePb
_symmetry_space_group_name_H-M 'P 1'
_symmetry_Int_Tables_number 1
_cell_length_a 4.536
_cell_length_b 4.536
_cell_length_c 7.105
_cell_angle_alpha 80.15
_cell_angle_beta 80.15
_cell_angle_gamma 42.61
loop_
_symmetry_equiv_pos_as_xyz
'x,y,z'
loop_
_atom_site_label
_atom_site_fract_x
_atom_site_fract_y
_atom_site_fract_z
Te1 0.479 0.479 0.604
Tc1 0.017 0.017 0.913
Pb1 0.260 0.260 0.167
Tc2 0.744 0.744 0.815
```

## Properties
The value obtained for the density of states at the Fermi level is 1.9 states/eV per cell. As for the energy relative to the elements, uncorrected: 0.336 eV/atom. The total energy comes out at -6.560 eV per atom. The value obtained for the density is 9.06 g/cm³.

=====

Record 6
Compound: TcTe2Pb
Source: Alexandria
Functional: GGA-PBE
Structure: relaxed

Structure (CIF):
```
data_TcTe2Pb
_symmetry_space_group_name_H-M 'P 1'
_symmetry_Int_Tables_number 1
_cell_length_a 6.986
_cell_length_b 6.986
_cell_length_c 6.986
_cell_angle_alpha 152.45
_cell_angle_beta 136.76
_cell_angle_gamma 52.04
loop_
_symmetry_equiv_pos_as_xyz
'x,y,z'
loop_
_atom_site_label
_atom_site_fract_x
_atom_site_fract_y
_atom_site_fract_z
Tc1 0.750 0.250 0.500
Pb1 0.250 0.750 0.500
Te1 0.923 0.923 0.000
Te2 0.577 0.577 0.000
```

## Properties
The value obtained for the density of states at the Fermi level is 3.8 states/eV per cell. As for the energy relative to the elements, uncorrected: 0.197 eV/atom. The total energy comes out at -4.893 eV per atom. The value obtained for the density is 8.65 g/cm³.

=====

Record 7
Compound: Tc2TePb
Source: Alexandria
Functional: GGA-PBE
Structure: relaxed

Structure (CIF):
```
data_Tc2TePb
_symmetry_space_group_name_H-M 'P 1'
_symmetry_Int_Tables_number 1
_cell_length_a 5.411
_cell_length_b 5.411
_cell_length_c 3.223
_cell_angle_alpha 73.49
_cell_angle_beta 73.49
_cell_angle_gamma 106.58
loop_
_symmetry_equiv_pos_as_xyz
'x,y,z'
loop_
_atom_site_label
_atom_site_fract_x
_atom_site_fract_y
_atom_site_fract_z
Tc1 0.500 0.500 0.000
Te1 0.500 0.000 0.500
Tc2 0.000 0.000 0.000
Pb1 0.000 0.500 0.500
```

## Properties
The value obtained for the density of states at the Fermi level is 4.9 states/eV per cell. As for the energy relative to the elements, uncorrected: 0.890 eV/atom. The total energy comes out at -6.006 eV per atom. The value obtained for the density is 11.08 g/cm³.

=====

Record 8
Compound: TcTe2Pb
Source: Alexandria
Functional: GGA-PBE
Structure: relaxed

Structure (CIF):
```
data_TcTe2Pb
_symmetry_space_group_name_H-M 'P 1'
_symmetry_Int_Tables_number 1
_cell_length_a 3.288
_cell_length_b 3.288
_cell_length_c 9.219
_cell_angle_alpha 90.00
_cell_angle_beta 90.00
_cell_angle_gamma 89.98
loop_
_symmetry_equiv_pos_as_xyz
'x,y,z'
loop_
_atom_site_label
_atom_site_fract_x
_atom_site_fract_y
_atom_site_fract_z
Tc1 0.500 0.500 0.750
Te1 0.000 0.000 0.570
Pb1 0.500 0.500 0.250
Te2 0.000 0.000 0.930
```

## Properties
The value obtained for the density of states at the Fermi level is 3.7 states/eV per cell. As for the energy relative to the elements, uncorrected: 0.122 eV/atom. The total energy comes out at -4.967 eV per atom. The value obtained for the density is 9.34 g/cm³.